(1)
Below is a relaxed structure of KBTe2, with properties calculated at the PBE level.

a = 7.580 Å, b = 7.580 Å, c = 7.580 Å
α = 46.31°, β = 46.31°, γ = 46.31°
Fractional coordinates of all 4 atoms:
1 K 0.500 0.500 0.500
2 Te 0.900 0.900 0.900
3 Te 0.100 0.100 0.100
4 B 0.000 0.000 0.000

**Density of states at the Fermi level**: 0.00 states/eV/f.u.
**Electronic total energy**: -3.63 eV/atom

***

(2)
Below is a relaxed structure of KBTe3, with properties calculated at the PBE level.

a = 8.633 Å, b = 8.633 Å, c = 11.137 Å
α = 90.71°, β = 90.71°, γ = 116.98°
Fractional coordinates of all 20 atoms:
1 K 0.044 0.956 0.250
2 K 0.956 0.044 0.750
3 K 0.657 0.343 0.250
4 K 0.343 0.657 0.750
5 B 0.867 0.612 0.899
6 B 0.388 0.133 0.601
7 B 0.133 0.388 0.101
8 B 0.612 0.867 0.399
9 Te 0.117 0.816 0.949
10 Te 0.184 0.883 0.551
11 Te 0.883 0.184 0.051
12 Te 0.816 0.117 0.449
13 Te 0.846 0.462 0.736
14 Te 0.538 0.154 0.764
15 Te 0.154 0.538 0.264
16 Te 0.462 0.846 0.236
17 Te 0.678 0.640 0.015
18 Te 0.360 0.322 0.485
19 Te 0.322 0.360 0.985
20 Te 0.640 0.678 0.515

**Offset from the most stable computed form**: 0 meV per atom
**Electronic total energy**: -3.60 eV/atom

***

(3)
Below is a relaxed structure of KBTe2, with properties calculated at the PBE level.

a = 9.832 Å, b = 9.832 Å, c = 9.832 Å
α = 21.48°, β = 21.48°, γ = 21.48°
Fractional coordinates of all 4 atoms:
1 K 0.000 0.000 0.000
2 Te 0.883 0.883 0.883
3 Te 0.117 0.117 0.117
4 B 0.500 0.500 0.500

**Density of states at the Fermi level**: 2.14 states/eV/f.u.
**Electronic total energy**: -3.05 eV/atom

***

(4)
Below is a relaxed structure of KBTe3, with properties calculated at the PBE level.

a = 5.118 Å, b = 5.118 Å, c = 5.118 Å
α = 90.00°, β = 90.00°, γ = 90.00°
Fractional coordinates of all 5 atoms:
1 K 0.500 0.500 0.500
2 Te 0.000 0.500 0.000
3 Te 0.000 0.000 0.500
4 Te 0.500 0.000 0.000
5 B 0.000 0.000 0.000

**Density of states at the Fermi level**: 4.23 states/eV/f.u.
**Offset from the most stable computed form**: 464 meV per atom
**Electronic total energy**: -3.14 eV/atom

***

(5)
Below is a relaxed structure of K2BTe, with properties calculated at the PBE level.

a = 5.693 Å, b = 5.693 Å, c = 5.693 Å
α = 60.00°, β = 60.00°, γ = 60.00°
Fractional coordinates of all 4 atoms:
1 K 0.250 0.250 0.250
2 K 0.750 0.750 0.750
3 Te 0.500 0.500 0.500
4 B 0.000 0.000 0.000

**Density of states at the Fermi level**: 2.56 states/eV/f.u.
**Offset from the most stable computed form**: 0 meV per atom
**Electronic total energy**: -2.47 eV/atom

***

(6)
Below is a relaxed structure of KTiB2Te, with properties calculated at the PBE level.

a = 4.814 Å, b = 5.094 Å, c = 4.814 Å
α = 90.00°, β = 90.00°, γ = 90.00°
Fractional coordinates of all 5 atoms:
1 K 0.500 0.500 0.500
2 Te 0.000 0.000 0.000
3 B 0.000 0.000 0.500
4 B 0.500 0.000 0.000
5 Ti 0.000 0.500 0.000

**Density of states at the Fermi level**: 7.13 states/eV/f.u.
**Electronic total energy**: -3.37 eV/atom

***

(7)
Below is a relaxed structure of KTlBTe2, with properties calculated at the PBE level.

a = 6.196 Å, b = 5.368 Å, c = 6.196 Å
α = 90.00°, β = 90.00°, γ = 90.00°
Fractional coordinates of all 5 atoms:
1 Tl 0.500 0.500 0.500
2 Te 0.000 0.000 0.500
3 Te 0.500 0.000 0.000
4 K 0.000 0.000 0.000
5 B 0.000 0.500 0.000

**Density of states at the Fermi level**: 5.81 states/eV/f.u.
**Electronic total energy**: -2.09 eV/atom

***

(8)
Below is a relaxed structure of KTiB2, with properties calculated at the PBE level.

a = 4.393 Å, b = 4.393 Å, c = 4.393 Å
α = 60.00°, β = 60.00°, γ = 60.00°
Fractional coordinates of all 4 atoms:
1 K 0.000 0.000 0.000
2 B 0.250 0.250 0.250
3 B 0.750 0.750 0.750
4 Ti 0.500 0.500 0.500

**Density of states at the Fermi level**: 3.66 states/eV/f.u.
**Offset from the most stable computed form**: 396 meV per atom
**ΔH_f (0 K)**: 1.59 eV per atom
**Electronic total energy**: -4.00 eV/atom

***

(9)
Below is a relaxed structure of K2TiB, with properties calculated at the PBE level.

a = 12.138 Å, b = 12.138 Å, c = 8.855 Å
α = 46.74°, β = 46.74°, γ = 90.00°
Fractional coordinates of all 8 atoms:
1 K 0.445 0.125 0.250
2 K 0.305 0.625 0.250
3 K 0.375 0.555 0.750
4 K 0.875 0.695 0.750
5 B 0.500 0.500 0.000
6 B 0.250 0.750 0.500
7 Ti 0.000 0.000 0.000
8 Ti 0.750 0.250 0.500

**Density of states at the Fermi level**: 5.88 states/eV/f.u.
**ΔH_f (0 K)**: 0.98 eV per atom
**Electronic total energy**: -3.21 eV/atom

***

(10)
Below is a relaxed structure of KTiB, with properties calculated at the PBE level.

a = 3.486 Å, b = 11.193 Å, c = 4.323 Å
α = 90.19°, β = 66.24°, γ = 90.61°
Fractional coordinates of all 6 atoms:
1 K 0.855 0.687 0.767
2 K 0.145 0.313 0.233
3 B 0.422 0.949 0.653
4 B 0.578 0.051 0.347
5 Ti 0.136 0.932 0.224
6 Ti 0.864 0.068 0.776

**Density of states at the Fermi level**: 1.53 states/eV/f.u.
**Offset from the most stable computed form**: 0 meV per atom
**ΔH_f (0 K)**: 0.12 eV per atom
**Electronic total energy**: -5.11 eV/atom

***

(11)
Below is a relaxed structure of KTiB, with properties calculated at the PBE level.

a = 3.749 Å, b = 3.749 Å, c = 5.814 Å
α = 90.00°, β = 90.00°, γ = 120.00°
Fractional coordinates of all 3 atoms:
1 K 0.667 0.333 0.500
2 B 0.000 0.000 0.000
3 Ti 0.333 0.667 0.000

**Density of states at the Fermi level**: 4.04 states/eV/f.u.
**Offset from the most stable computed form**: 645 meV per atom
**ΔH_f (0 K)**: 0.76 eV per atom
**Electronic total energy**: -4.46 eV/atom

***

(12)
Below is a relaxed structure of KTiB, with properties calculated at the PBE level.

a = 11.064 Å, b = 4.099 Å, c = 4.099 Å
α = 90.02°, β = 101.32°, γ = 78.68°
Fractional coordinates of all 6 atoms:
1 K 0.281 0.851 0.149
2 K 0.719 0.149 0.851
3 B 0.084 0.455 0.545
4 B 0.916 0.545 0.455
5 Ti 0.000 0.000 0.500
6 Ti 0.000 0.500 0.000

**Density of states at the Fermi level**: 1.52 states/eV/f.u.
**Offset from the most stable computed form**: 144 meV per atom
**ΔH_f (0 K)**: 0.26 eV per atom
**Electronic total energy**: -4.96 eV/atom

***

| no. | total magnetic moment (Bohr magnetons per cell) |
| --- | --- |
| 1 | 0.00 |
| 2 | 0.00 |
| 3 | 0.00 |
| 4 | 0.00 |
| 5 | 1.00 |
| 6 | 0.00 |
| 7 | 0.35 |
| 8 | 0.00 |
| 9 | 3.68 |
| 10 | 0.75 |
| 11 | 1.18 |
| 12 | 0.00 |